## LiOsO6 (PBE)

Data for a relaxed LiOsO6 crystal.

Unit cell a=5.5653 b=5.5653 c=5.5653 alpha=60.00 beta=60.00 gamma=60.00
Fractional positions:
1 Li 0.5000 0.5000 0.5000
2 Os 0.0000 0.0000 0.0000
3 O 0.7656 0.7656 0.2344
4 O 0.7656 0.2344 0.2344
5 O 0.2344 0.7656 0.7656
6 O 0.2344 0.2344 0.7656
7 O 0.2344 0.7656 0.2344
8 O 0.7656 0.2344 0.7656

Computed properties:
The symmetry is Fm-3m, No. 225. The value obtained for the uncorrected formation energy is -432.7 meV/atom. As for the raw total energy: -5.794 eV/atom. The total magnetization comes out at 3.00 μB/cell.